No. 1
BeTeRh2 | PBE | optimized geometry

a b c (Å): 5.6126 5.6126 5.6126
angles (deg): 145.88 141.37 52.48
Sites, in units of the cell vectors:
Rh  0.0540  0.0540  0.0000
Rh  0.7733  0.2733  0.5000
Te  0.4575  0.4575  0.0000
Be  0.2153  0.7153  0.5000

Properties
As for the relative energy among the computed polymorphs: 0.70 eV/f.u. As for the space group: Imm2, No. 44.

No. 2
BeTe2Rh | PBE | optimized geometry

a b c (Å): 6.5614 6.5614 6.5614
angles (deg): 146.90 146.90 47.52
Sites, in units of the cell vectors:
Be  0.5000  0.5000  0.0000
Te  0.0000  0.0000  0.0000
Te  0.2500  0.7500  0.5000
Rh  0.7500  0.2500  0.5000

Properties
As for the space group: I-4m2, No. 119.

No. 3
Be2Te2Rh | PBE | optimized geometry

a b c (Å): 6.7294 6.7294 3.6129
angles (deg): 90.00 90.00 90.00
Sites, in units of the cell vectors:
Te  0.3072  0.1928  0.5000
Te  0.6928  0.8072  0.5000
Te  0.1928  0.6928  0.5000
Te  0.8072  0.3072  0.5000
Be  0.1205  0.3795  0.0000
Be  0.8795  0.6205  0.0000
Be  0.3795  0.8795  0.0000
Be  0.6205  0.1205  0.0000
Rh  0.5000  0.5000  0.0000
Rh  0.0000  0.0000  0.0000

Properties
As for the relative energy among the computed polymorphs: 0.00 eV/f.u. As for the space group: P4/mbm, No. 127.

| no. | total DFT energy (no corrections) (eV/atom) | formation energy without anion corrections (eV/atom) |
| --- | --- | --- |
| 1 | -5.513 | -0.120 |
| 2 | -3.926 | 0.414 |
| 3 | -3.957 | 0.260 |